# 1
The following is a SCAN calculation of a PBEsol-optimized structure of ZnTeRu2, from Alexandria via LeMat-Bulk.

Results
energy	-1.0961	Ha/atom
excess energy over the best structure of this formula in the dataset	0.264	eV/atom
E_form (uncorrected)	0.28	eV/atom
crystal system	tetragonal

Cell: 2.9012 2.9012 7.9616 Å, 90.00 90.00 90.00°
Last column: nearest neighbours and their distance in Å.
Sites, in units of the cell vectors:
Zn 0.0000 0.0000 0.0000  4 Ru 2.63, 4 Zn 2.90
Te 0.5000 0.5000 0.6617  4 Ru 2.90, 4 Te 2.90
Ru 0.0000 0.0000 0.4049  4 Ru 2.59
Ru 0.5000 0.5000 0.2073  4 Ru 2.59, 4 Zn 2.63

---

# 2
The following is a SCAN calculation of a PBEsol-optimized structure of ZnTeRu2, from Alexandria via LeMat-Bulk.

Results
energy	-1.0948	Ha/atom
excess energy over the best structure of this formula in the dataset	0.298	eV/atom
E_form (uncorrected)	0.31	eV/atom
crystal system	orthorhombic

Cell: 5.3683 5.3683 5.3683 Å, 146.26 133.33 58.82°
Last column: nearest neighbours and their distance in Å.
Sites, in units of the cell vectors:
Zn 0.0000 0.0000 0.0000  6 Ru 2.64-2.76, 2 Te 2.93
Te 0.7343 0.2343 0.5000  6 Ru 2.62-2.64
Ru 0.2436 0.7436 0.5000  4 Te 2.64, 2 Zn 2.76, 2 Ru 2.94
Ru 0.5098 0.5098 0.0000  2 Te 2.62, 4 Zn 2.64

---

# 3
The following is a SCAN calculation of a PBEsol-optimized structure of Zn2TeRu, from Alexandria via LeMat-Bulk.

Results
energy	-0.9003	Ha/atom
E_form (uncorrected)	0.28	eV/atom
crystal system	tetragonal

Cell: 3.9435 3.9435 4.1153 Å, 90.00 90.00 90.00°
Last column: nearest neighbours and their distance in Å.
Sites, in units of the cell vectors:
Zn 0.0000 0.5000 0.0000  4 Zn 2.79, 4 Ru 2.85, 4 Te 2.85
Zn 0.5000 0.0000 0.0000  4 Zn 2.79, 4 Ru 2.85, 4 Te 2.85
Te 0.0000 0.0000 0.5000  4 Ru 2.79, 8 Zn 2.85
Ru 0.5000 0.5000 0.5000  4 Te 2.79, 8 Zn 2.85

---

# 4
The following is a SCAN calculation of a PBEsol-optimized structure of ZnTeRu2, from Alexandria via LeMat-Bulk.

Results
energy	-1.1058	Ha/atom
excess energy over the best structure of this formula in the dataset	0.000	eV/atom
E_form (uncorrected)	0.01	eV/atom
crystal system	cubic

Cell: 4.3707 4.3707 4.3707 Å, 60.00 60.00 60.00°
Last column: nearest neighbours and their distance in Å.
Sites, in units of the cell vectors:
Zn 0.0000 0.0000 0.0000  8 Ru 2.68
Te 0.5000 0.5000 0.5000  8 Ru 2.68
Ru 0.2500 0.2500 0.2500  4 Te 2.68, 4 Zn 2.68
Ru 0.7500 0.7500 0.7500  4 Te 2.68, 4 Zn 2.68

---

# 5
The following is a SCAN calculation of a PBEsol-optimized structure of ZnTe2Ru, from Alexandria via LeMat-Bulk.

Results
energy	-1.1267	Ha/atom
E_form (uncorrected)	0.05	eV/atom
crystal system	tetragonal

Cell: 3.3217 3.3217 7.3814 Å, 90.00 90.00 90.00°
Last column: nearest neighbours and their distance in Å.
Sites, in units of the cell vectors:
Zn 0.0000 0.0000 0.0000  4 Ru 2.71, 5 Te 2.78-2.80
Te 0.0000 0.0000 0.3771  4 Ru 2.76, 1 Zn 2.78
Te 0.5000 0.5000 0.7939  4 Zn 2.80, 1 Ru 2.86
Ru 0.5000 0.5000 0.1818  4 Zn 2.71, 5 Te 2.76-2.86

---

# 6
The following is a SCAN calculation of a PBEsol-optimized structure of ZrTeRu2, from Alexandria via LeMat-Bulk.

Results
energy	-1.2729	Ha/atom
E_form (uncorrected)	-0.24	eV/atom
crystal system	tetragonal

Cell: 5.2155 5.2155 5.2155 Å, 136.39 136.39 63.37°
Last column: nearest neighbours and their distance in Å.
Sites, in units of the cell vectors:
Zr 0.0000 0.0000 0.0000  8 Ru 2.74-2.95, 4 Te 2.95
Te 0.7500 0.2500 0.5000  8 Ru 2.74-2.95, 4 Zr 2.95
Ru 0.2500 0.7500 0.5000  4 Te 2.74, 4 Zr 2.95, 4 Ru 2.95
Ru 0.5000 0.5000 0.0000  4 Zr 2.74, 4 Te 2.95, 4 Ru 2.95

---

# 7
The following is a SCAN calculation of a PBEsol-optimized structure of ZrTeRu2, from Alexandria via LeMat-Bulk.

Results
energy	-1.2620	Ha/atom
E_form (uncorrected)	0.06	eV/atom
crystal system	trigonal

Cell: 8.3897 8.3897 8.3897 Å, 21.76 21.76 21.76°
Last column: nearest neighbours and their distance in Å.
Sites, in units of the cell vectors:
Zr 0.0000 0.0000 0.0000  6 Ru 2.72
Te 0.5000 0.5000 0.5000  6 Ru 2.77
Ru 0.2512 0.2512 0.2512  3 Zr 2.72, 3 Te 2.77
Ru 0.7488 0.7488 0.7488  3 Zr 2.72, 3 Te 2.77

---

# 8
The following is a SCAN calculation of a PBEsol-optimized structure of ZrTe3Ru, from Alexandria via LeMat-Bulk.

Results
energy	-1.2783	Ha/atom
E_form (uncorrected)	0.67	eV/atom
crystal system	cubic

Cell: 5.4595 5.4595 5.4595 Å, 90.00 90.00 90.00°
Last column: nearest neighbours and their distance in Å.
Sites, in units of the cell vectors:
Zr 0.0000 0.0000 0.0000  6 Te 2.73
Te 0.0000 0.0000 0.5000  2 Zr 2.73
Te 0.0000 0.5000 0.0000  2 Zr 2.73
Te 0.5000 0.0000 0.0000  2 Zr 2.73
Ru 0.5000 0.5000 0.5000  12 Te 3.86

---

# 9
The following is a SCAN calculation of a PBEsol-optimized structure of Zr2TeRu, from Alexandria via LeMat-Bulk.

Results
energy	-1.2446	Ha/atom
E_form (uncorrected)	-0.50	eV/atom
crystal system	monoclinic

Cell: 3.3419 3.4020 6.9165 Å, 90.00 96.04 90.00°
Last column: nearest neighbours and their distance in Å.
Sites, in units of the cell vectors:
Zr 0.0159 0.0000 0.2739  4 Ru 2.72-2.98, 2 Te 2.96
Zr 0.9841 0.0000 0.7261  4 Ru 2.72-2.98, 2 Te 2.96
Te 0.5000 0.5000 0.0000  8 Zr 2.96-3.12
Ru 0.5000 0.5000 0.5000  8 Zr 2.72-2.98

---

# 10
The following is a SCAN calculation of a PBEsol-optimized structure of ThRu, from Alexandria via LeMat-Bulk.

Results
energy	-2.4235	Ha/atom
energy of formation	-55.48	kJ per mole of atoms
crystal system	orthorhombic

Cell: 6.0313 6.0313 3.9248 Å, 90.00 90.00 142.86°
Last column: nearest neighbours and their distance in Å.
Sites, in units of the cell vectors:
Th 0.1368 0.8632 0.7500  5 Ru 2.79-3.09
Th 0.8632 0.1368 0.2500  5 Ru 2.79-3.09
Ru 0.4068 0.5932 0.7500  5 Th 2.79-3.09, 2 Ru 2.90
Ru 0.5932 0.4068 0.2500  5 Th 2.79-3.09, 2 Ru 2.90

---

# 11
The following is a SCAN calculation of a PBEsol-optimized structure of YThRu2, from Alexandria via LeMat-Bulk.

Results
energy	-1.7942	Ha/atom
energy of formation	-45.20	kJ per mole of atoms
crystal system	cubic

Cell: 4.8511 4.8511 4.8511 Å, 60.00 60.00 60.00°
Last column: nearest neighbours and their distance in Å.
Sites, in units of the cell vectors:
Y 0.0000 0.0000 0.0000  8 Ru 2.97
Th 0.5000 0.5000 0.5000  8 Ru 2.97
Ru 0.2500 0.2500 0.2500  4 Th 2.97, 4 Y 2.97
Ru 0.7500 0.7500 0.7500  4 Th 2.97, 4 Y 2.97

---

# 12
The following is a SCAN calculation of a PBEsol-optimized structure of ZrTi3Ru, from Alexandria via LeMat-Bulk.

Results
energy	-0.7815	Ha/atom
energy of formation	140.65	kJ per mole of atoms
crystal system	cubic

Cell: 4.5535 4.5535 4.5535 Å, 90.00 90.00 90.00°
Last column: nearest neighbours and their distance in Å.
Sites, in units of the cell vectors:
Zr 0.0000 0.0000 0.0000  6 Ti 2.28
Ti 0.0000 0.0000 0.5000  2 Zr 2.28
Ti 0.0000 0.5000 0.0000  2 Zr 2.28
Ti 0.5000 0.0000 0.0000  2 Zr 2.28
Ru 0.5000 0.5000 0.5000  12 Ti 3.22

---

Number 1: magnetization 0.000 μB per atom. Number 2: magnetization 0.000 μB per atom. Number 3: magnetization 0.000 μB per atom. Number 4: magnetization 0.000 μB per atom. Number 5: magnetization 0.183 μB per atom. Number 6: magnetization 0.000 μB per atom. Number 7: magnetization 0.000 μB per atom. Number 8: magnetization 0.639 μB per atom. Number 9: magnetization 0.000 μB per atom. Number 10: magnetization 0.000 μB per atom. Number 11: magnetization 0.000 μB per atom. Number 12: magnetization 0.000 μB per atom.